Record 1
Density functional theory data (PBE-GGA) for an optimized crystal structure of GaAgGe.

Cell and atoms, written as POSCAR:
```
GaAgGe
1.0
6.681 -1.585 0.000
6.681 1.585 0.000
-2.481 0.000 5.268
Ga Ag Ge
2 2 2
Direct
0.155 0.155 0.159
0.845 0.845 0.841
0.495 0.495 0.244
0.505 0.505 0.756
0.159 0.159 0.651
0.841 0.841 0.349
```

Crystal system ... monoclinic

---

Record 2
Density functional theory data (PBE-GGA) for an optimized crystal structure of GaAgGe.

Cell and atoms, written as POSCAR:
```
GaAgGe
1.0
7.288 0.000 0.000
0.000 5.175 0.000
0.000 0.000 6.228
Ga Ag Ge
4 4 4
Direct
0.000 0.000 0.000
0.000 0.500 0.000
0.500 0.000 0.500
0.500 0.500 0.500
0.090 0.250 0.412
0.410 0.750 0.912
0.590 0.250 0.088
0.910 0.750 0.588
0.206 0.750 0.307
0.294 0.250 0.807
0.706 0.750 0.193
0.794 0.250 0.693
```

Crystal system ... orthorhombic

---

Record 3
Density functional theory data (PBE-GGA) for an optimized crystal structure of GaAg2Ge2.

Cell and atoms, written as POSCAR:
```
GaAg2Ge2
1.0
-1.926 1.926 6.792
1.926 -1.926 6.792
1.926 1.926 -6.792
Ga Ag Ge
1 2 2
Direct
0.000 0.000 0.000
0.401 0.401 0.000
0.599 0.599 0.000
0.250 0.750 0.500
0.750 0.250 0.500
```

Relative energy among the computed polymorphs ... 0.0391 eV/atom
Crystal system ... tetragonal

---

Record 4
Density functional theory data (PBE-GGA) for an optimized crystal structure of GaAg2Ge2.

Cell and atoms, written as POSCAR:
```
GaAg2Ge2
1.0
8.315 0.000 0.000
0.000 8.315 0.000
0.000 0.000 2.852
Ga Ag Ge
2 4 4
Direct
0.000 0.000 0.000
0.500 0.500 0.000
0.161 0.339 0.000
0.339 0.839 0.000
0.661 0.161 0.000
0.839 0.661 0.000
0.136 0.636 0.500
0.364 0.136 0.500
0.636 0.864 0.500
0.864 0.364 0.500
```

Relative energy among the computed polymorphs ... 0.0000 eV/atom
Crystal system ... tetragonal

---

Record 5
Density functional theory data (PBE-GGA) for an optimized crystal structure of GaAgGe.

Cell and atoms, written as POSCAR:
```
GaAgGe
1.0
4.034 0.000 0.000
0.000 4.034 0.000
0.000 0.000 7.192
Ga Ag Ge
2 2 2
Direct
0.250 0.750 0.000
0.750 0.250 0.000
0.250 0.250 0.382
0.750 0.750 0.618
0.250 0.250 0.747
0.750 0.750 0.253
```

Crystal system ... tetragonal

---

Record 6
Density functional theory data (PBE-GGA) for an optimized crystal structure of GaAgGe3.

Cell and atoms, written as POSCAR:
```
GaAgGe3
1.0
5.026 0.000 0.000
0.000 5.026 0.000
0.000 0.000 5.026
Ga Ag Ge
1 1 3
Direct
0.000 0.000 0.000
0.500 0.500 0.500
0.000 0.500 0.500
0.500 0.000 0.500
0.500 0.500 0.000
```

Relative energy among the computed polymorphs ... 0.0267 eV/atom
Crystal system ... cubic

---

Record 7
Density functional theory data (PBE-GGA) for an optimized crystal structure of Ga2Ag8Ge.

Cell and atoms, written as POSCAR:
```
Ga2Ag8Ge
1.0
5.137 -4.662 0.000
5.137 4.662 0.000
-1.376 0.000 4.648
Ga Ag Ge
2 8 1
Direct
0.152 0.152 0.042
0.848 0.848 0.958
0.156 0.671 0.703
0.272 0.272 0.612
0.329 0.844 0.297
0.425 0.425 0.203
0.575 0.575 0.797
0.671 0.156 0.703
0.728 0.728 0.388
0.844 0.329 0.297
0.000 0.000 0.500
```

Crystal system ... monoclinic

---

Record 8
Density functional theory data (PBE-GGA) for an optimized crystal structure of Ga3Ag3Ge.

Cell and atoms, written as POSCAR:
```
Ga3Ag3Ge
1.0
7.172 0.000 0.000
0.000 7.172 0.000
0.000 0.000 7.172
Ga Ag Ge
6 6 2
Direct
0.000 0.250 0.500
0.000 0.750 0.500
0.250 0.500 0.000
0.500 0.000 0.250
0.500 0.000 0.750
0.750 0.500 0.000
0.000 0.500 0.250
0.000 0.500 0.750
0.250 0.000 0.500
0.500 0.250 0.000
0.500 0.750 0.000
0.750 0.000 0.500
0.000 0.000 0.000
0.500 0.500 0.500
```

Crystal system ... cubic

---

Record 9
Density functional theory data (PBE-GGA) for an optimized crystal structure of GaAg2Ge2.

Cell and atoms, written as POSCAR:
```
GaAg2Ge2
1.0
-2.063 2.063 5.986
2.063 -2.063 5.986
2.063 2.063 -5.986
Ga Ag Ge
1 2 2
Direct
0.000 0.000 0.000
0.250 0.750 0.500
0.750 0.250 0.500
0.395 0.395 0.000
0.605 0.605 0.000
```

Relative energy among the computed polymorphs ... 0.0304 eV/atom
Crystal system ... tetragonal

---

Record 10
Density functional theory data (PBE-GGA) for an optimized crystal structure of GaAg2Ge2.

Cell and atoms, written as POSCAR:
```
GaAg2Ge2
1.0
8.158 0.000 0.000
0.000 8.158 0.000
0.000 0.000 2.951
Ga Ag Ge
2 4 4
Direct
0.000 0.000 0.000
0.500 0.500 0.000
0.136 0.364 0.500
0.364 0.864 0.500
0.636 0.136 0.500
0.864 0.636 0.500
0.161 0.661 0.000
0.339 0.161 0.000
0.661 0.839 0.000
0.839 0.339 0.000
```

Relative energy among the computed polymorphs ... 0.0097 eV/atom
Crystal system ... tetragonal

---

Record 11
Density functional theory data (PBE-GGA) for an optimized crystal structure of GaAgGe.

Cell and atoms, written as POSCAR:
```
GaAgGe
1.0
4.862 0.000 0.000
0.000 2.897 0.000
-1.784 0.000 8.089
Ga Ag Ge
2 2 2
Direct
0.000 0.000 0.000
0.087 0.500 0.647
0.479 0.500 0.945
0.608 0.000 0.658
0.125 0.000 0.367
0.578 0.000 0.244
```

Crystal system ... monoclinic

---

Record 12
Density functional theory data (PBE-GGA) for an optimized crystal structure of Ga6Ag12Ge.

Cell and atoms, written as POSCAR:
```
Ga6Ag12Ge
1.0
6.313 3.645 2.441
-6.313 3.645 2.441
0.000 -7.289 2.441
Ga Ag Ge
6 12 1
Direct
0.057 0.583 0.366
0.366 0.057 0.583
0.417 0.634 0.943
0.583 0.366 0.057
0.634 0.943 0.417
0.943 0.417 0.634
0.105 0.162 0.737
0.162 0.737 0.105
0.208 0.322 0.475
0.263 0.895 0.838
0.322 0.475 0.208
0.475 0.208 0.322
0.525 0.792 0.678
0.678 0.525 0.792
0.737 0.105 0.162
0.792 0.678 0.525
0.838 0.263 0.895
0.895 0.838 0.263
0.000 0.000 0.000
```

Crystal system ... trigonal

---

ΔE_f per entry: 124, 223, 246, 207, 223, 723, 158, 602, 238, 217, 146, 26 meV per atom
Spin magnetization per entry: 0.000, 0.000, 0.000, 0.000, 0.000, 0.000, 0.000, 0.000, 0.000, 0.000, 0.000, 0.000 μB/f.u.
Calculated total energy per entry: -3.375, -3.276, -3.347, -3.386, -3.275, -3.223, -2.885, -2.577, -3.355, -3.376, -3.352, -2.974 eV/atom